GaHgMo2 | PBEsol | optimized geometry

Unit cell a=4.486 b=4.486 c=4.486 alpha=60.00 beta=60.00 gamma=60.00
Sites, in units of the cell vectors:
Mo 0.250 0.250 0.250
Mo 0.750 0.750 0.750
Ga 0.000 0.000 0.000
Hg 0.500 0.500 0.500

Summary:
DFT formation energy in eV/atom: 0.47
SG: No. 225